# LaZn2I (PBE, optimized geometry)
data_LaZn2I
_chemical_formula_sum 'La2 Zn4 I2'
_cell_length_a 6.847
_cell_length_b 6.847
_cell_length_c 6.847
_cell_angle_alpha 102.27
_cell_angle_beta 102.27
_cell_angle_gamma 125.11
_space_group_name_H-M_alt 'P 1'
_space_group_IT_number 1
loop_
_space_group_symop_operation_xyz
'x,y,z'
loop_
_atom_site_label
_atom_site_type_symbol
_atom_site_fract_x
_atom_site_fract_y
_atom_site_fract_z
La1 La 0.000 0.000 0.000
La2 La 0.750 0.250 0.500
Zn1 Zn 0.127 0.625 0.002
Zn2 Zn 0.375 0.377 0.502
Zn3 Zn 0.623 0.125 0.998
Zn4 Zn 0.875 0.873 0.498
I1 I 0.250 0.750 0.500
I2 I 0.500 0.500 0.000
# Excess energy over the best structure of this formula in the dataset in eV/atom: 0.000
# Theoretical density in g/cm3: 5.65
# Space group: I-42d
# N(E_F) in states/eV/cell: 7.5
# Raw formation energy in eV per atom: -0.165


# LaZn3I9 (PBE, optimized geometry)
data_LaZn3I9
_chemical_formula_sum 'La2 Zn6 I18'
_cell_length_a 11.525
_cell_length_b 11.525
_cell_length_c 14.765
_cell_angle_alpha 124.87
_cell_angle_beta 124.87
_cell_angle_gamma 52.86
_space_group_name_H-M_alt 'P 1'
_space_group_IT_number 1
loop_
_space_group_symop_operation_xyz
'x,y,z'
loop_
_atom_site_label
_atom_site_type_symbol
_atom_site_fract_x
_atom_site_fract_y
_atom_site_fract_z
La1 La 0.230 0.770 0.500
La2 La 0.770 0.230 0.000
Zn1 Zn 0.033 0.264 0.834
Zn2 Zn 0.264 0.033 0.334
Zn3 Zn 0.279 0.433 0.667
Zn4 Zn 0.433 0.279 0.167
Zn5 Zn 0.646 0.814 0.209
Zn6 Zn 0.814 0.646 0.709
I1 I 0.080 0.233 0.221
I2 I 0.097 0.944 0.330
I3 I 0.168 0.440 0.037
I4 I 0.233 0.080 0.721
I5 I 0.300 0.670 0.695
I6 I 0.407 0.409 0.876
I7 I 0.409 0.407 0.376
I8 I 0.440 0.168 0.537
I9 I 0.459 0.774 0.228
I10 I 0.484 0.984 0.074
I11 I 0.542 0.776 0.560
I12 I 0.670 0.300 0.195
I13 I 0.774 0.459 0.728
I14 I 0.776 0.542 0.060
I15 I 0.862 0.877 0.417
I16 I 0.877 0.862 0.917
I17 I 0.944 0.097 0.830
I18 I 0.984 0.484 0.574
# Theoretical density in g/cm3: 4.08
# Space group: Cc
# N(E_F) in states/eV/cell: 0.0
# Raw formation energy in eV per atom: -0.820


# LaZnI3 (PBE, optimized geometry)
data_LaZnI3
_chemical_formula_sum 'La1 Zn1 I3'
_cell_length_a 6.318
_cell_length_b 6.318
_cell_length_c 6.318
_cell_angle_alpha 90.00
_cell_angle_beta 90.00
_cell_angle_gamma 90.00
_space_group_name_H-M_alt 'P 1'
_space_group_IT_number 1
loop_
_space_group_symop_operation_xyz
'x,y,z'
loop_
_atom_site_label
_atom_site_type_symbol
_atom_site_fract_x
_atom_site_fract_y
_atom_site_fract_z
La1 La 0.000 0.000 0.000
Zn1 Zn 0.500 0.500 0.500
I1 I 0.000 0.000 0.500
I2 I 0.000 0.500 0.000
I3 I 0.500 0.000 0.000
# Excess energy over the best structure of this formula in the dataset in eV/atom: 0.000
# Theoretical density in g/cm3: 3.85
# Space group: Pm-3m
# N(E_F) in states/eV/cell: 0.0
# Raw formation energy in eV per atom: -0.933


# La5ZnI5 (PBE, optimized geometry)
data_La5ZnI5
_chemical_formula_sum 'La5 Zn1 I5'
_cell_length_a 7.648
_cell_length_b 7.648
_cell_length_c 9.383
_cell_angle_alpha 107.65
_cell_angle_beta 107.65
_cell_angle_gamma 49.21
_space_group_name_H-M_alt 'P 1'
_space_group_IT_number 1
loop_
_space_group_symop_operation_xyz
'x,y,z'
loop_
_atom_site_label
_atom_site_type_symbol
_atom_site_fract_x
_atom_site_fract_y
_atom_site_fract_z
La1 La 0.000 0.000 0.000
La2 La 0.326 0.326 0.137
La3 La 0.345 0.345 0.698
La4 La 0.655 0.655 0.302
La5 La 0.674 0.674 0.863
Zn1 Zn 0.500 0.500 0.000
I1 I 0.146 0.146 0.796
I2 I 0.167 0.167 0.348
I3 I 0.500 0.500 0.500
I4 I 0.833 0.833 0.652
I5 I 0.854 0.854 0.204
# Theoretical density in g/cm3: 5.91
# Space group: C2/m
# N(E_F) in states/eV/cell: 7.9
# Raw formation energy in eV per atom: -0.997


# LaZn2I2 (PBE, optimized geometry)
data_LaZn2I2
_chemical_formula_sum 'La2 Zn4 I4'
_cell_length_a 7.790
_cell_length_b 7.790
_cell_length_c 4.910
_cell_angle_alpha 90.00
_cell_angle_beta 90.00
_cell_angle_gamma 90.00
_space_group_name_H-M_alt 'P 1'
_space_group_IT_number 1
loop_
_space_group_symop_operation_xyz
'x,y,z'
loop_
_atom_site_label
_atom_site_type_symbol
_atom_site_fract_x
_atom_site_fract_y
_atom_site_fract_z
La1 La 0.000 0.000 0.000
La2 La 0.500 0.500 0.000
Zn1 Zn 0.112 0.388 0.000
Zn2 Zn 0.388 0.888 0.000
Zn3 Zn 0.612 0.112 0.000
Zn4 Zn 0.888 0.612 0.000
I1 I 0.191 0.691 0.500
I2 I 0.309 0.191 0.500
I3 I 0.691 0.809 0.500
I4 I 0.809 0.309 0.500
# Excess energy over the best structure of this formula in the dataset in eV/atom: 0.007
# Theoretical density in g/cm3: 5.84
# Space group: P4/mbm
# N(E_F) in states/eV/cell: 7.5
# Raw formation energy in eV per atom: -0.320


# La2ZrZnI (PBE, optimized geometry)
data_La2ZrZnI
_chemical_formula_sum 'La2 Zr1 Zn1 I1'
_cell_length_a 5.906
_cell_length_b 5.906
_cell_length_c 5.106
_cell_angle_alpha 90.00
_cell_angle_beta 90.00
_cell_angle_gamma 90.00
_space_group_name_H-M_alt 'P 1'
_space_group_IT_number 1
loop_
_space_group_symop_operation_xyz
'x,y,z'
loop_
_atom_site_label
_atom_site_type_symbol
_atom_site_fract_x
_atom_site_fract_y
_atom_site_fract_z
La1 La 0.000 0.500 0.000
La2 La 0.500 0.000 0.000
Zr1 Zr 0.000 0.000 0.500
Zn1 Zn 0.500 0.500 0.500
I1 I 0.500 0.500 0.000
# Theoretical density in g/cm3: 5.23
# Space group: P4/mmm
# N(E_F) in states/eV/cell: 8.2
# Raw formation energy in eV per atom: 0.586


# LaZrI2 (PBE, optimized geometry)
data_LaZrI2
_chemical_formula_sum 'La2 Zr2 I4'
_cell_length_a 10.698
_cell_length_b 10.698
_cell_length_c 10.698
_cell_angle_alpha 151.65
_cell_angle_beta 151.65
_cell_angle_gamma 40.52
_space_group_name_H-M_alt 'P 1'
_space_group_IT_number 1
loop_
_space_group_symop_operation_xyz
'x,y,z'
loop_
_atom_site_label
_atom_site_type_symbol
_atom_site_fract_x
_atom_site_fract_y
_atom_site_fract_z
La1 La 0.000 0.000 0.000
La2 La 0.750 0.250 0.500
Zr1 Zr 0.250 0.750 0.500
Zr2 Zr 0.500 0.500 0.000
I1 I 0.147 0.625 0.022
I2 I 0.375 0.397 0.522
I3 I 0.603 0.125 0.978
I4 I 0.875 0.853 0.478
# Excess energy over the best structure of this formula in the dataset in eV/atom: 0.202
# Theoretical density in g/cm3: 5.83
# Space group: I-42d
# N(E_F) in states/eV/cell: 13.1
# Raw formation energy in eV per atom: -0.232


# LaZrI3 (PBE, optimized geometry)
data_LaZrI3
_chemical_formula_sum 'La1 Zr1 I3'
_cell_length_a 6.207
_cell_length_b 6.207
_cell_length_c 6.207
_cell_angle_alpha 90.00
_cell_angle_beta 90.00
_cell_angle_gamma 90.00
_space_group_name_H-M_alt 'P 1'
_space_group_IT_number 1
loop_
_space_group_symop_operation_xyz
'x,y,z'
loop_
_atom_site_label
_atom_site_type_symbol
_atom_site_fract_x
_atom_site_fract_y
_atom_site_fract_z
La1 La 0.000 0.000 0.000
Zr1 Zr 0.500 0.500 0.500
I1 I 0.000 0.000 0.500
I2 I 0.000 0.500 0.000
I3 I 0.500 0.000 0.000
# Excess energy over the best structure of this formula in the dataset in eV/atom: 0.403
# Theoretical density in g/cm3: 4.24
# Space group: Pm-3m
# N(E_F) in states/eV/cell: 21.1
# Raw formation energy in eV per atom: 0.153